(1)
A relaxed structure of Y4Tm4Tl, computed with PBE.

abc: 10.647 10.647 4.799
angles: 90.00 90.00 90.00
Space group I4/mmm (No. 139)
Unique sites:
Y: 0.162 0.162 0.000 x8
Tm: 0.000 0.339 0.500 x8
Tl: 0.000 0.000 0.500 x2

DOS(E_F)	14.767	states/eV/f.u.
total moment	0.0	Bohr magnetons per cell
calculated volume	30.226	Å³ per atom

***

(2)
A relaxed structure of Y6TmTl5, computed with PBE.

abc: 5.015 8.796 15.244
angles: 90.00 90.00 90.00
Space group Immm (No. 71)
Unique sites:
Y: 0.000 0.227 0.000 x4
Y: 0.000 0.263 0.330 x8
Tm: 0.000 0.000 0.500 x2
Tl: 0.000 0.000 0.179 x4
Tl: 0.000 0.500 0.146 x4
Tl: 0.000 0.500 0.500 x2

DOS(E_F)	11.627	states/eV/f.u.
total moment	2.1	Bohr magnetons per cell
calculated volume	28.021	Å³ per atom

***

(3)
A relaxed structure of Y2TmTl, computed with PBE.

abc: 5.441 3.706 11.696
angles: 90.00 90.06 90.00
Space group P2/m (No. 10)
Unique sites:
Y: 0.249 0.000 0.128 x2
Y: 0.250 0.000 0.663 x2
Tm: 0.250 0.500 0.406 x2
Tl: 0.251 0.500 0.891 x2

DOS(E_F)	4.504	states/eV/f.u.
total moment	0.0	Bohr magnetons per cell
excess energy over the best structure of this formula in the dataset	0.0	meV/atom
calculated volume	29.481	Å³ per atom

***

(4)
A relaxed structure of Y3Tm2Tl, computed with PBE.

abc: 17.246 6.107 7.053
angles: 90.00 90.00 90.00
Space group Cmcm (No. 63)
Unique sites:
Y: 0.000 0.170 0.250 x4
Y: 0.139 0.500 0.000 x8
Tm: 0.188 0.015 0.750 x8
Tl: 0.000 0.314 0.750 x4

DOS(E_F)	7.668	states/eV/f.u.
total moment	2.9	Bohr magnetons per cell
calculated volume	30.954	Å³ per atom

***

(5)
A relaxed structure of Y3Tm6Tl, computed with PBE.

abc: 10.529 19.009 6.131
angles: 90.00 90.00 90.00
Space group Cmc2_1 (No. 36)
Unique sites:
Y: 0.000 0.105 0.000 x4
Y: 0.167 0.381 0.656 x8
Tm: 0.000 0.215 0.430 x4
Tm: 0.000 0.441 0.169 x4
Tm: 0.167 0.042 0.528 x8
Tm: 0.233 0.301 0.188 x8
Tl: 0.000 0.264 0.916 x4

DOS(E_F)	12.475	states/eV/f.u.
total moment	0.0	Bohr magnetons per cell
calculated volume	30.680	Å³ per atom

***

(6)
A relaxed structure of Y8Tm2Tl, computed with PBE.

abc: 19.395 5.565 6.428
angles: 90.00 95.04 90.00
Space group C2/m (No. 12)
Unique sites:
Y: 0.045 0.000 0.266 x4
Y: 0.079 0.500 0.598 x4
Y: 0.155 0.000 0.800 x4
Y: 0.162 0.500 0.124 x4
Tm: 0.243 0.000 0.337 x4
Tl: 0.000 0.500 0.000 x2

DOS(E_F)	16.511	states/eV/f.u.
total moment	0.0	Bohr magnetons per cell
calculated volume	31.412	Å³ per atom

***

(7)
A relaxed structure of Y3TmTl2, computed with PBE.

abc: 5.074 10.006 6.790
angles: 90.00 90.00 90.00
Space group Pmc2_1 (No. 26)
Unique sites:
Y: 0.000 0.041 0.000 x2
Y: 0.000 0.315 0.372 x2
Y: 0.500 0.190 0.721 x2
Tm: 0.500 0.460 0.092 x2
Tl: 0.000 0.367 0.841 x2
Tl: 0.500 0.133 0.254 x2

DOS(E_F)	6.392	states/eV/f.u.
total moment	0.0	Bohr magnetons per cell
excess energy over the best structure of this formula in the dataset	0.0	meV/atom
calculated volume	28.728	Å³ per atom

***

(8)
A relaxed structure of Y3Tm4Tl4, computed with PBE.

abc: 3.711 9.595 18.073
angles: 90.00 90.00 90.00
Space group Immm (No. 71)
Unique sites:
Y: 0.000 0.000 0.000 x2
Y: 0.000 0.500 0.099 x4
Tm: 0.000 0.302 0.334 x8
Tl: 0.000 0.000 0.260 x4
Tl: 0.000 0.222 0.500 x4

DOS(E_F)	11.061	states/eV/f.u.
total moment	4.1	Bohr magnetons per cell
calculated volume	29.251	Å³ per atom

***

(9)
A relaxed structure of YTm3Tl3, computed with PBE.

abc: 9.3081 9.3081 5.1977
angles: 90.00 90.00 120.00
Space group P6_3/m (No. 176)
Unique sites:
Y: 0.3333 0.6667 0.2500 x2
Tm: 0.0033 0.7724 0.2500 x6
Tl: 0.0737 0.6242 0.7500 x6

DOS(E_F)	5.989	states/eV/f.u.
total moment	0.0	Bohr magnetons per cell
calculated volume	27.857	Å³ per atom

***

(10)
A relaxed structure of Y4Tm5Tl, computed with PBE.

abc: 10.548 10.548 5.750
angles: 90.00 90.00 90.00
Space group I4mm (No. 107)
Unique sites:
Y: 0.000 0.316 0.000 x8
Tm: 0.000 0.000 0.207 x2
Tm: 0.185 0.185 0.496 x8
Tl: 0.000 0.000 0.726 x2

DOS(E_F)	14.284	states/eV/f.u.
total moment	0.0	Bohr magnetons per cell
calculated volume	31.986	Å³ per atom

***

(11)
A relaxed structure of YTm2Tl, computed with PBE.

abc: 7.675 7.675 7.675
angles: 90.00 90.00 90.00
Space group F-43m (No. 216)
Unique sites:
Y: 0.000 0.000 0.000 x4
Tm: 0.000 0.000 0.500 x4
Tm: 0.250 0.250 0.250 x4
Tl: 0.250 0.250 0.750 x4

DOS(E_F)	5.863	states/eV/f.u.
total moment	5.1	Bohr magnetons per cell
excess energy over the best structure of this formula in the dataset	143.8	meV/atom
calculated volume	28.257	Å³ per atom

***

Computed formation enthalpy at 0 K, in the same sequence as the records: -0.039, -0.301, -0.193, -0.070, 0.038, -0.039, -0.292, -0.226, -0.219, 0.122, -0.025 eV/atom.